(1)
{"formula": "TeP3", "functional": "PBE", "state": "optimized geometry", "final_energy_ev_per_cell": -17.99, "crystal_system": "monoclinic", "e_above_lowest_polymorph_mev_per_atom": 147, "e_form_raw_ev_per_atom": 0.35, "cell": [[5.626, 0.000, 0.000], [0.000, 2.746, 0.000], [-1.759, 0.000, 5.427]], "species": ["Te", "P", "P", "P"], "frac_coords": [[0.000, 0.000, 0.000], [0.000, 0.000, 0.500], [0.447, 0.000, 0.668], [0.553, 0.000, 0.332]]}

(2)
{"formula": "Zr2BeAs", "functional": "PBE", "state": "optimized geometry", "final_energy_ev_per_cell": -26.27, "crystal_system": "orthorhombic", "e_above_lowest_polymorph_mev_per_atom": 592, "formation_enthalpy_0k_ev_per_atom": -0.201, "cell": [[1.962, -2.571, 0.000], [1.962, 2.571, 0.000], [0.000, 0.000, 7.216]], "species": ["Zr", "Zr", "Be", "As"], "frac_coords": [[0.000, 0.000, 0.000], [0.500, 0.500, 0.339], [0.000, 0.000, 0.583], [0.500, 0.500, 0.742]]}

(3)
{"formula": "TaNiSb2", "functional": "PBE", "state": "optimized geometry", "final_energy_ev_per_cell": -25.14, "crystal_system": "tetragonal", "e_above_lowest_polymorph_mev_per_atom": 255, "e_form_raw_ev_per_atom": 0.18, "cell": [[4.640, 0.000, 0.000], [0.000, 4.640, 0.000], [0.000, 0.000, 3.472]], "species": ["Ta", "Ni", "Sb", "Sb"], "frac_coords": [[0.000, 0.000, 0.000], [0.500, 0.500, 0.000], [0.000, 0.500, 0.500], [0.500, 0.000, 0.500]]}

(4)
{"formula": "TaCoAsBr2", "functional": "PBE", "state": "optimized geometry", "final_energy_ev_per_cell": -22.05, "crystal_system": "tetragonal", "e_above_lowest_polymorph_mev_per_atom": 244, "e_form_raw_ev_per_atom": 0.98, "cell": [[4.624, 0.000, 0.000], [0.000, 4.624, 0.000], [0.000, 0.000, 4.741]], "species": ["Ta", "Co", "As", "Br", "Br"], "frac_coords": [[0.000, 0.000, 0.000], [0.500, 0.500, 0.500], [0.500, 0.500, 0.000], [0.000, 0.500, 0.500], [0.500, 0.000, 0.500]]}